Entry 1:
A geometry-optimized Sm2Y5Er4 structure, computed with PBE.

a b c (Å): 8.6462 8.6462 9.3174
angles (deg): 122.16 122.16 38.27
Atoms (fractional coordinates):
Sm  0.0897  0.0897  0.2506
Sm  0.9103  0.9103  0.7494
Y  0.0000  0.0000  0.5000
Y  0.2883  0.2883  0.7506
Y  0.3441  0.3441  0.4381
Y  0.6559  0.6559  0.5619
Y  0.7117  0.7117  0.2494
Er  0.1858  0.1858  0.9872
Er  0.4469  0.4469  0.1970
Er  0.5531  0.5531  0.8030
Er  0.8142  0.8142  0.0128

Its symmetry is C2/m, No. 12. For the total DFT energy (no corrections), the calculation gives -5.360 eV/atom. The energy of formation from the pure elements is 0.095 eV/atom. For the energy above the lowest structure with this stoichiometry, the calculation gives 0 meV per atom. The density comes out at 6.589 g/cm3. As for the density of states at the Fermi level: 1.79 states/eV per atom.

---

Entry 2:
A geometry-optimized SmY3Er4 structure, computed with PBE.

a b c (Å): 11.2316 7.2647 6.2707
angles (deg): 90.00 90.00 90.00
Atoms (fractional coordinates):
Sm  0.0000  0.1277  0.0000
Sm  0.5000  0.8723  0.5000
Y  0.0000  0.8731  0.4992
Y  0.2503  0.1273  0.3360
Y  0.2497  0.8727  0.8360
Y  0.5000  0.1269  0.9992
Y  0.7497  0.1273  0.3360
Y  0.7503  0.8727  0.8360
Er  0.0000  0.3772  0.5036
Er  0.0000  0.6222  0.0030
Er  0.2494  0.6228  0.3346
Er  0.2506  0.3772  0.8346
Er  0.5000  0.3778  0.5030
Er  0.5000  0.6228  0.0036
Er  0.7494  0.3772  0.8346
Er  0.7506  0.6228  0.3346

Its symmetry is Pmn2_1, No. 31. For the total DFT energy (no corrections), the calculation gives -5.291 eV/atom. The energy of formation from the pure elements is 0.004 eV/atom. For the energy above the lowest structure with this stoichiometry, the calculation gives 0 meV per atom. The density comes out at 7.050 g/cm3. As for the density of states at the Fermi level: 1.71 states/eV per atom.

---

Entry 3:
A geometry-optimized SmY3Er2 structure, computed with PBE.

a b c (Å): 9.0409 9.0409 14.2023
angles (deg): 116.86 116.86 22.35
Atoms (fractional coordinates):
Sm  0.0614  0.0614  0.1453
Sm  0.9386  0.9386  0.8547
Y  0.1004  0.1004  0.5264
Y  0.2407  0.2407  0.7950
Y  0.4608  0.4608  0.2875
Y  0.5392  0.5392  0.7125
Y  0.7593  0.7593  0.2050
Y  0.8996  0.8996  0.4736
Er  0.1579  0.1579  0.9676
Er  0.3179  0.3179  0.6153
Er  0.6821  0.6821  0.3847
Er  0.8421  0.8421  0.0324

Its symmetry is C2/m, No. 12. For the total DFT energy (no corrections), the calculation gives -5.422 eV/atom. The energy of formation from the pure elements is 0.118 eV/atom. For the energy above the lowest structure with this stoichiometry, the calculation gives 94 meV per atom. The density comes out at 6.371 g/cm3. As for the density of states at the Fermi level: 1.76 states/eV per atom.

---

Entry 4:
A geometry-optimized SmY3Er2 structure, computed with PBE.

a b c (Å): 9.4207 9.4207 6.1579
angles (deg): 90.12 90.12 44.41
Atoms (fractional coordinates):
Sm  0.1256  0.8744  0.7500
Sm  0.8744  0.1256  0.2500
Y  0.0424  0.2931  0.9161
Y  0.2931  0.0424  0.4161
Y  0.3756  0.6244  0.2500
Y  0.6244  0.3756  0.7500
Y  0.7069  0.9576  0.5839
Y  0.9576  0.7069  0.0839
Er  0.2081  0.4574  0.5827
Er  0.4574  0.2081  0.0827
Er  0.5426  0.7919  0.9173
Er  0.7919  0.5426  0.4173

Its symmetry is C2/c, No. 15. For the total DFT energy (no corrections), the calculation gives -5.516 eV/atom. The energy of formation from the pure elements is 0.024 eV/atom. For the energy above the lowest structure with this stoichiometry, the calculation gives 0 meV per atom. The density comes out at 6.526 g/cm3. As for the density of states at the Fermi level: 1.47 states/eV per atom.

---

Entry 5:
A geometry-optimized SmYEr3 structure, computed with PBE.

a b c (Å): 6.2751 5.6223 9.5810
angles (deg): 90.00 109.09 90.00
Atoms (fractional coordinates):
Sm  0.2337  0.2500  0.3000
Sm  0.7663  0.7500  0.7000
Y  0.3659  0.7500  0.8996
Y  0.6341  0.2500  0.1004
Er  0.0326  0.2500  0.9002
Er  0.1640  0.7500  0.4994
Er  0.4327  0.2500  0.6988
Er  0.5673  0.7500  0.3012
Er  0.8360  0.2500  0.5006
Er  0.9674  0.7500  0.0998

Its symmetry is P2_1/m, No. 11. For the total DFT energy (no corrections), the calculation gives -4.969 eV/atom. The energy of formation from the pure elements is 0.005 eV/atom. For the energy above the lowest structure with this stoichiometry, the calculation gives 0 meV per atom. The density comes out at 7.704 g/cm3. As for the density of states at the Fermi level: 1.62 states/eV per atom.

---

Entry 6:
A geometry-optimized Sm7YEr4 structure, computed with PBE.

a b c (Å): 6.2655 7.2315 8.9059
angles (deg): 90.01 103.69 90.06
Atoms (fractional coordinates):
Sm  0.0000  0.0000  0.0000
Sm  0.2221  0.5000  0.6652
Sm  0.2805  0.7512  0.3357
Sm  0.4993  0.2468  0.0013
Sm  0.5007  0.7532  0.9987
Sm  0.7195  0.2488  0.6643
Sm  0.7779  0.5000  0.3348
Y  0.0000  0.5000  0.0000
Er  0.2195  0.0000  0.6652
Er  0.2781  0.2477  0.3337
Er  0.7219  0.7523  0.6663
Er  0.7805  0.0000  0.3348

Its symmetry is P-1, No. 2. For the total DFT energy (no corrections), the calculation gives -4.809 eV/atom. The energy of formation from the pure elements is 0.003 eV/atom. For the energy above the lowest structure with this stoichiometry, the calculation gives 0 meV per atom. The density comes out at 7.668 g/cm3. As for the density of states at the Fermi level: 1.35 states/eV per atom.

---

Entry 7:
A geometry-optimized Sm5Y2Er2 structure, computed with PBE.

a b c (Å): 10.2123 10.2123 8.6629
angles (deg): 101.32 101.32 19.80
Atoms (fractional coordinates):
Sm  0.0000  0.0000  0.0000
Sm  0.0554  0.0554  0.6689
Sm  0.2195  0.2195  0.6441
Sm  0.7805  0.7805  0.3559
Sm  0.9446  0.9446  0.3311
Y  0.1764  0.1764  0.0366
Y  0.8236  0.8236  0.9634
Er  0.3990  0.3990  0.6626
Er  0.6010  0.6010  0.3374

Its symmetry is C2/m, No. 12. For the total DFT energy (no corrections), the calculation gives -4.939 eV/atom. The energy of formation from the pure elements is 0.133 eV/atom. For the energy above the lowest structure with this stoichiometry, the calculation gives 0 meV per atom. The density comes out at 6.998 g/cm3. As for the density of states at the Fermi level: 1.68 states/eV per atom.

---

Entry 8:
A geometry-optimized Sm6Y3Er2 structure, computed with PBE.

a b c (Å): 13.3657 13.3657 13.3657
angles (deg): 24.58 24.58 24.58
Atoms (fractional coordinates):
Sm  0.0914  0.0914  0.0914
Sm  0.1870  0.1870  0.1870
Sm  0.3747  0.3747  0.3747
Sm  0.6253  0.6253  0.6253
Sm  0.8130  0.8130  0.8130
Sm  0.9086  0.9086  0.9086
Y  0.0000  0.0000  0.0000
Y  0.2830  0.2830  0.2830
Y  0.7170  0.7170  0.7170
Er  0.4595  0.4595  0.4595
Er  0.5405  0.5405  0.5405

Its symmetry is R-3m, No. 166. For the total DFT energy (no corrections), the calculation gives -5.064 eV/atom. The energy of formation from the pure elements is 0.103 eV/atom. For the energy above the lowest structure with this stoichiometry, the calculation gives 0 meV per atom. The density comes out at 6.873 g/cm3. As for the density of states at the Fermi level: 1.72 states/eV per atom.

---

Entry 9:
A geometry-optimized Sm6YEr8 structure, computed with PBE.

a b c (Å): 9.4477 9.4477 6.4937
angles (deg): 90.00 90.00 120.00
Atoms (fractional coordinates):
Sm  0.0918  0.6797  0.0918
Sm  0.3203  0.4120  0.0918
Sm  0.4120  0.0918  0.9082
Sm  0.5880  0.9082  0.0918
Sm  0.6797  0.5880  0.9082
Sm  0.9082  0.3203  0.9082
Y  0.0000  0.0000  0.0000
Er  0.0221  0.3326  0.4012
Er  0.3105  0.9779  0.4012
Er  0.3326  0.3105  0.5988
Er  0.3333  0.6667  0.6511
Er  0.6667  0.3333  0.3489
Er  0.6674  0.6895  0.4012
Er  0.6895  0.0221  0.5988
Er  0.9779  0.6674  0.5988

Its symmetry is P-3, No. 147. For the total DFT energy (no corrections), the calculation gives -4.517 eV/atom. The energy of formation from the pure elements is 0.235 eV/atom. For the energy above the lowest structure with this stoichiometry, the calculation gives 108 meV per atom. The density comes out at 7.705 g/cm3. As for the density of states at the Fermi level: 1.48 states/eV per atom.

---

Entry 10:
A geometry-optimized SmY4Er3 structure, computed with PBE.

a b c (Å): 11.2602 7.2786 6.2851
angles (deg): 90.00 90.00 90.00
Atoms (fractional coordinates):
Sm  0.0000  0.1236  0.0000
Sm  0.5000  0.8764  0.5000
Y  0.0000  0.3737  0.4973
Y  0.0000  0.6267  0.9958
Y  0.2487  0.6261  0.3335
Y  0.2513  0.3739  0.8335
Y  0.5000  0.3733  0.4958
Y  0.5000  0.6263  0.9973
Y  0.7487  0.3739  0.8335
Y  0.7513  0.6261  0.3335
Er  0.0000  0.8763  0.4995
Er  0.2501  0.1237  0.3304
Er  0.2499  0.8763  0.8304
Er  0.5000  0.1237  0.9995
Er  0.7499  0.1237  0.3304
Er  0.7501  0.8763  0.8304

Its symmetry is Pmn2_1, No. 31. For the total DFT energy (no corrections), the calculation gives -5.530 eV/atom. The energy of formation from the pure elements is 0.003 eV/atom. For the energy above the lowest structure with this stoichiometry, the calculation gives 0 meV per atom. The density comes out at 6.497 g/cm3. As for the density of states at the Fermi level: 1.74 states/eV per atom.

---

Entry 11:
A geometry-optimized Sm5Y4Er3 structure, computed with PBE.

a b c (Å): 8.6551 8.6551 9.3392
angles (deg): 115.43 115.43 39.89
Atoms (fractional coordinates):
Sm  0.0000  0.0000  0.0000
Sm  0.3262  0.3262  0.6153
Sm  0.4238  0.4238  0.2986
Sm  0.5762  0.5762  0.7014
Sm  0.6738  0.6738  0.3847
Y  0.0798  0.0798  0.4369
Y  0.2152  0.2152  0.8780
Y  0.7848  0.7848  0.1220
Y  0.9202  0.9202  0.5631
Er  0.2091  0.2091  0.2298
Er  0.5000  0.5000  0.0000
Er  0.7909  0.7909  0.7702

Its symmetry is C2/m, No. 12. For the total DFT energy (no corrections), the calculation gives -5.037 eV/atom. The energy of formation from the pure elements is 0.225 eV/atom. The density comes out at 6.695 g/cm3. As for the density of states at the Fermi level: 1.70 states/eV per atom.

---

Entry 12:
A geometry-optimized Sm6Y5Er structure, computed with PBE.

a b c (Å): 6.2345 6.2345 11.8390
angles (deg): 95.02 95.02 119.98
Atoms (fractional coordinates):
Sm  0.0833  0.4156  0.7493
Sm  0.2490  0.2490  0.2508
Sm  0.4156  0.0833  0.7493
Sm  0.5844  0.9167  0.2507
Sm  0.7510  0.7510  0.7492
Sm  0.9167  0.5844  0.2507
Y  0.1666  0.8334  0.0000
Y  0.3333  0.6667  0.5000
Y  0.5000  0.5000  0.0000
Y  0.6667  0.3333  0.5000
Y  0.8334  0.1666  0.0000
Er  0.0000  0.0000  0.5000

Its symmetry is C2/m, No. 12. For the total DFT energy (no corrections), the calculation gives -5.420 eV/atom. The energy of formation from the pure elements is 0.014 eV/atom. The density comes out at 6.405 g/cm3. As for the density of states at the Fermi level: 1.25 states/eV per atom.